## A
## Sr2Ga2Bi (PBE)

Data for a geometry-optimized Sr2Ga2Bi structure.

The space group is I4/mmm (No. 139) and the conventional cell measures 5.255, 5.255 and 12.056 Å, with angles of 90.00, 90.00 and 90.00 degrees. Symmetry generates all atoms from Sr at (0.000, 0.500, 0.250), Ga at (0.000, 0.000, 0.097) and Bi at (0.000, 0.000, 0.500).

For the total magnetization, the calculation gives 0.00 μB/f.u. The density of states at the Fermi level is 0.504 states/eV per atom.

## B
## Sr2Ga2Bi (PBE)

Data for a geometry-optimized Sr2Ga2Bi structure.

The space group is P4/mbm (No. 127) and the conventional cell measures 7.896, 7.896 and 4.842 Å, with angles of 90.00, 90.00 and 90.00 degrees. Symmetry generates all atoms from Sr at (0.178, 0.322, 0.000), Ga at (0.116, 0.616, 0.500) and Bi at (0.000, 0.000, 0.500).

For the total magnetization, the calculation gives 0.00 μB/f.u. The density of states at the Fermi level is 0.878 states/eV per atom.

Sorted by energy, starting with the most stable: B, A.

## A
## Sr3GaBi (PBE)

Data for a geometry-optimized Sr3GaBi structure.

The space group is C2/m (No. 12) and the conventional cell measures 17.660, 4.614 and 9.412 Å, with angles of 90.00, 94.70 and 90.00 degrees. Symmetry generates all atoms from Sr at (0.051, 0.000, 0.177), Sr at (0.108, 0.500, 0.564), Sr at (0.242, 0.000, 0.813), Ga at (0.212, 0.000, 0.437) and Bi at (0.107, 0.500, 0.925).

For the total magnetization, the calculation gives 0.00 μB/f.u. The density of states at the Fermi level is 0.657 states/eV per atom.

## B
## Sr3GaBi (PBE)

Data for a geometry-optimized Sr3GaBi structure.

The space group is Pm-3m (No. 221) and the conventional cell measures 5.949, 5.949 and 5.949 Å, with angles of 90.00, 90.00 and 90.00 degrees. Symmetry generates all atoms from Sr at (0.000, 0.000, 0.500), Ga at (0.000, 0.000, 0.000) and Bi at (0.500, 0.500, 0.500).

For the total magnetization, the calculation gives 0.00 μB/f.u. The density of states at the Fermi level is 1.115 states/eV per atom.

Sorted by energy, starting with the most stable: A, B.

## A
## SrGa3Bi (PBE)

Data for a geometry-optimized SrGa3Bi structure.

The space group is Pm-3m (No. 221) and the conventional cell measures 5.719, 5.719 and 5.719 Å, with angles of 90.00, 90.00 and 90.00 degrees. Symmetry generates all atoms from Sr at (0.000, 0.000, 0.000), Ga at (0.000, 0.000, 0.500) and Bi at (0.500, 0.500, 0.500).

For the total magnetization, the calculation gives 0.00 μB/f.u. The density of states at the Fermi level is 0.595 states/eV per atom.

## B
## SrGa3Bi (PBE)

Data for a geometry-optimized SrGa3Bi structure.

The space group is Pm-3m (No. 221) and the conventional cell measures 5.563, 5.563 and 5.563 Å, with angles of 90.00, 90.00 and 90.00 degrees. Symmetry generates all atoms from Sr at (0.000, 0.000, 0.000), Ga at (0.000, 0.500, 0.500) and Bi at (0.500, 0.500, 0.500).

For the total magnetization, the calculation gives 0.00 μB/f.u. The density of states at the Fermi level is 0.605 states/eV per atom.

Sorted by energy, starting with the most stable: B, A.

## A
## Ta2GaBi (PBE)

Data for a geometry-optimized Ta2GaBi structure.

The space group is Fm-3m (No. 225) and the conventional cell measures 6.758, 6.758 and 6.758 Å, with angles of 90.00, 90.00 and 90.00 degrees. Symmetry generates all atoms from Ta at (0.250, 0.250, 0.250), Ga at (0.000, 0.000, 0.000) and Bi at (0.000, 0.000, 0.500).

For the total magnetization, the calculation gives 0.00 μB/f.u. The density of states at the Fermi level is 0.862 states/eV per atom.

## B
## Ta2GaBi (PBE)

Data for a geometry-optimized Ta2GaBi structure.

The space group is I-42d (No. 122) and the conventional cell measures 4.103, 4.103 and 20.280 Å, with angles of 90.00, 90.00 and 90.00 degrees. Symmetry generates all atoms from Ta at (0.229, 0.250, 0.125), Ga at (0.000, 0.000, 0.000) and Bi at (0.000, 0.000, 0.500).

For the total magnetization, the calculation gives 0.00 μB/f.u. The density of states at the Fermi level is 0.880 states/eV per atom.

Sorted by energy, starting with the most stable: A, B.

## A
## TbGa2Bi (PBE)

Data for a geometry-optimized TbGa2Bi structure.

The space group is R-3m (No. 166, hexagonal axes) and the conventional cell measures 5.2367, 5.2367 and 12.5452 Å, with angles of 90.00, 90.00 and 120.00 degrees. Symmetry generates all atoms from Tb at (0.0000, 0.0000, 0.0000), Ga at (0.0000, 0.0000, 0.2497) and Bi at (0.0000, 0.0000, 0.5000).

For the total magnetization, the calculation gives 0.00 μB/f.u. The density of states at the Fermi level is 0.887 states/eV per atom.

## B
## TbGa2Bi (PBE)

Data for a geometry-optimized TbGa2Bi structure.

The space group is P4/mmm (No. 123) and the conventional cell measures 4.636, 4.636 and 4.394 Å, with angles of 90.00, 90.00 and 90.00 degrees. Symmetry generates all atoms from Tb at (0.000, 0.000, 0.000), Ga at (0.000, 0.500, 0.500) and Bi at (0.500, 0.500, 0.000).

For the total magnetization, the calculation gives 0.00 μB/f.u. The density of states at the Fermi level is 0.289 states/eV per atom.

Sorted by energy, starting with the most stable: B, A.

## A
## TbGaBi (PBE)

Data for a geometry-optimized TbGaBi structure.

The space group is P3m1 (No. 156) and the conventional cell measures 4.8812, 4.8812 and 3.9388 Å, with angles of 90.00, 90.00 and 120.00 degrees. Symmetry generates all atoms from Tb at (0.0000, 0.0000, 0.0000), Ga at (0.6667, 0.3333, 0.3415) and Bi at (0.3333, 0.6667, 0.5421).

For the total magnetization, the calculation gives 0.00 μB/f.u. The density of states at the Fermi level is 0.551 states/eV per atom.

## B
## TbGaBi (PBE)

Data for a geometry-optimized TbGaBi structure.

The space group is P6_222 (No. 180) and the conventional cell measures 6.7118, 6.7118 and 13.0746 Å, with angles of 90.00, 90.00 and 120.00 degrees. Symmetry generates all atoms from Tb at (0.0000, 0.5000, 0.3831), Ga at (0.2064, 0.6032, 0.1667), Bi at (0.0000, 0.0000, 0.1667) and Bi at (0.0000, 0.5000, 0.6667).

For the total magnetization, the calculation gives 0.00 μB/f.u. The density of states at the Fermi level is 0.666 states/eV per atom.

Sorted by energy, starting with the most stable: A, B.

## A
## GaTc2Bi (PBE)

Data for a geometry-optimized GaTc2Bi structure.

The space group is I-42d (No. 122) and the conventional cell measures 4.183, 4.183 and 18.483 Å, with angles of 90.00, 90.00 and 90.00 degrees. Symmetry generates all atoms from Ga at (0.000, 0.000, 0.000), Tc at (0.155, 0.250, 0.125) and Bi at (0.000, 0.000, 0.500).

For the total magnetization, the calculation gives 0.00 μB/f.u. The density of states at the Fermi level is 2.068 states/eV per atom.

## B
## GaTc2Bi (PBE)

Data for a geometry-optimized GaTc2Bi structure.

The space group is Fm-3m (No. 225) and the conventional cell measures 6.462, 6.462 and 6.462 Å, with angles of 90.00, 90.00 and 90.00 degrees. Symmetry generates all atoms from Ga at (0.000, 0.000, 0.000), Tc at (0.250, 0.250, 0.250) and Bi at (0.000, 0.000, 0.500).

For the total magnetization, the calculation gives 0.00 μB/f.u. The density of states at the Fermi level is 1.386 states/eV per atom.

Sorted by energy, starting with the most stable: B, A.

## A
## GaTcBi3 (PBE)

Data for a geometry-optimized GaTcBi3 structure.

The space group is Pm-3m (No. 221) and the conventional cell measures 5.407, 5.407 and 5.407 Å, with angles of 90.00, 90.00 and 90.00 degrees. Symmetry generates all atoms from Ga at (0.000, 0.000, 0.000), Tc at (0.500, 0.500, 0.500) and Bi at (0.000, 0.000, 0.500).

For the total magnetization, the calculation gives 3.24 μB/f.u. The density of states at the Fermi level is 0.960 states/eV per atom.

## B
## GaTcBi3 (PBE)

Data for a geometry-optimized GaTcBi3 structure.

The space group is Pm-3m (No. 221) and the conventional cell measures 5.348, 5.348 and 5.348 Å, with angles of 90.00, 90.00 and 90.00 degrees. Symmetry generates all atoms from Ga at (0.000, 0.000, 0.000), Tc at (0.500, 0.500, 0.500) and Bi at (0.000, 0.500, 0.500).

For the total magnetization, the calculation gives 0.00 μB/f.u. The density of states at the Fermi level is 1.016 states/eV per atom.

Sorted by energy, starting with the most stable: B, A.

## A
## GaTc3Bi (PBE)

Data for a geometry-optimized GaTc3Bi structure.

The space group is Pm-3m (No. 221) and the conventional cell measures 4.995, 4.995 and 4.995 Å, with angles of 90.00, 90.00 and 90.00 degrees. Symmetry generates all atoms from Ga at (0.000, 0.000, 0.000), Tc at (0.000, 0.500, 0.500) and Bi at (0.500, 0.500, 0.500).

For the total magnetization, the calculation gives 4.33 μB/f.u. The density of states at the Fermi level is 1.653 states/eV per atom.

## B
## GaTc3Bi (PBE)

Data for a geometry-optimized GaTc3Bi structure.

The space group is Pm-3m (No. 221) and the conventional cell measures 4.629, 4.629 and 4.629 Å, with angles of 90.00, 90.00 and 90.00 degrees. Symmetry generates all atoms from Ga at (0.000, 0.000, 0.000), Tc at (0.000, 0.000, 0.500) and Bi at (0.500, 0.500, 0.500).

For the total magnetization, the calculation gives 2.84 μB/f.u. The density of states at the Fermi level is 1.084 states/eV per atom.

Sorted by energy, starting with the most stable: B, A.

## A
## GaBi3Te (PBE)

Data for a geometry-optimized GaBi3Te structure.

The space group is Pm-3m (No. 221) and the conventional cell measures 5.504, 5.504 and 5.504 Å, with angles of 90.00, 90.00 and 90.00 degrees. Symmetry generates all atoms from Ga at (0.000, 0.000, 0.000), Bi at (0.000, 0.000, 0.500) and Te at (0.500, 0.500, 0.500).

For the total magnetization, the calculation gives 0.00 μB/f.u. The density of states at the Fermi level is 1.133 states/eV per atom.

## B
## GaBi3Te (PBE)

Data for a geometry-optimized GaBi3Te structure.

The space group is Pm-3m (No. 221) and the conventional cell measures 5.928, 5.928 and 5.928 Å, with angles of 90.00, 90.00 and 90.00 degrees. Symmetry generates all atoms from Ga at (0.000, 0.000, 0.000), Bi at (0.000, 0.500, 0.500) and Te at (0.500, 0.500, 0.500).

For the total magnetization, the calculation gives 0.00 μB/f.u. The density of states at the Fermi level is 1.894 states/eV per atom.

Sorted by energy, starting with the most stable: A, B.

## A
## GaBi2Te (PBE)

Data for a geometry-optimized GaBi2Te structure.

The space group is I-42d (No. 122) and the conventional cell measures 6.555, 6.555 and 14.989 Å, with angles of 90.00, 90.00 and 90.00 degrees. Symmetry generates all atoms from Ga at (0.000, 0.000, 0.000), Bi at (0.212, 0.250, 0.125) and Te at (0.000, 0.000, 0.500).

For the total magnetization, the calculation gives 0.00 μB/f.u. The density of states at the Fermi level is 0.542 states/eV per atom.

## B
## GaBi2Te (PBE)

Data for a geometry-optimized GaBi2Te structure.

The space group is Fm-3m (No. 225) and the conventional cell measures 7.703, 7.703 and 7.703 Å, with angles of 90.00, 90.00 and 90.00 degrees. Symmetry generates all atoms from Ga at (0.000, 0.000, 0.000), Bi at (0.250, 0.250, 0.250) and Te at (0.000, 0.000, 0.500).

For the total magnetization, the calculation gives 0.00 μB/f.u. The density of states at the Fermi level is 0.646 states/eV per atom.

Sorted by energy, starting with the most stable: B, A.

## A
## ThGa2Bi (PBE)

Data for a geometry-optimized ThGa2Bi structure.

The space group is Fm-3m (No. 225) and the conventional cell measures 7.402, 7.402 and 7.402 Å, with angles of 90.00, 90.00 and 90.00 degrees. Symmetry generates all atoms from Th at (0.000, 0.000, 0.000), Ga at (0.250, 0.250, 0.250) and Bi at (0.000, 0.000, 0.500).

For the total magnetization, the calculation gives 0.00 μB/f.u. The density of states at the Fermi level is 1.336 states/eV per atom.

## B
## ThGa2Bi (PBE)

Data for a geometry-optimized ThGa2Bi structure.

The space group is P4/mmm (No. 123) and the conventional cell measures 4.718, 4.718 and 4.421 Å, with angles of 90.00, 90.00 and 90.00 degrees. Symmetry generates all atoms from Th at (0.000, 0.000, 0.000), Ga at (0.000, 0.500, 0.500) and Bi at (0.500, 0.500, 0.000).

For the total magnetization, the calculation gives 0.00 μB/f.u. The density of states at the Fermi level is 0.872 states/eV per atom.

Sorted by energy, starting with the most stable: B, A.

## A
## Ti2GaBi (PBE)

Data for a geometry-optimized Ti2GaBi structure.

The space group is P4/mmm (No. 123) and the conventional cell measures 4.318, 4.318 and 4.080 Å, with angles of 90.00, 90.00 and 90.00 degrees. Symmetry generates all atoms from Ti at (0.000, 0.500, 0.000), Ga at (0.000, 0.000, 0.500) and Bi at (0.500, 0.500, 0.500).

For the total magnetization, the calculation gives 0.00 μB/f.u. The density of states at the Fermi level is 0.691 states/eV per atom.

## B
## Ti2GaBi (PBE)

Data for a geometry-optimized Ti2GaBi structure.

The space group is Fm-3m (No. 225) and the conventional cell measures 6.749, 6.749 and 6.749 Å, with angles of 90.00, 90.00 and 90.00 degrees. Symmetry generates all atoms from Ti at (0.250, 0.250, 0.250), Ga at (0.000, 0.000, 0.000) and Bi at (0.000, 0.000, 0.500).

For the total magnetization, the calculation gives 0.00 μB/f.u. The density of states at the Fermi level is 1.366 states/eV per atom.

Sorted by energy, starting with the most stable: A, B.